Record 1
A plane-wave DFT calculation with PBE was carried out for crystalline CaSiPb3 at its relaxed geometry.

Calculated values
E above lowest polymorph (meV per atom): 762
Uncorrected energy (Ry per atom): -0.1989
Magnetic moment (μB/f.u.): 0.10
Uncorrected formation energy (eV/f.u.): 5.02

Cell lengths 5.7877, 5.7877, 5.7877 Å; angles 90.00, 90.00, 90.00 degrees
Fractional coordinates of all 5 atoms:
Ca (0.0000, 0.0000, 0.0000)
Si (0.5000, 0.5000, 0.5000)
Pb (0.0000, 0.0000, 0.5000)
Pb (0.0000, 0.5000, 0.0000)
Pb (0.5000, 0.0000, 0.0000)

***

Record 2
A plane-wave DFT calculation with PBE was carried out for crystalline Ag2BOF at its relaxed geometry.

Calculated values
Uncorrected energy (Ry per atom): -0.2201
Magnetic moment (μB/f.u.): 0.00
Uncorrected formation energy (eV/f.u.): 4.24

Cell lengths 4.6522, 4.6522, 3.4359 Å; angles 90.00, 90.00, 90.00 degrees
Fractional coordinates of all 5 atoms:
Ag (0.0000, 0.5000, 0.0000)
Ag (0.5000, 0.0000, 0.0000)
B (0.0000, 0.0000, 0.5000)
O (0.5000, 0.5000, 0.5000)
F (0.0000, 0.0000, 0.0000)

***

Record 3
A plane-wave DFT calculation with PBE was carried out for crystalline Re2OsBr at its relaxed geometry.

Calculated values
E above lowest polymorph (meV per atom): 391
Uncorrected energy (Ry per atom): -0.6139
Magnetic moment (μB/f.u.): 0.00
Uncorrected formation energy (eV/f.u.): 4.39

Cell lengths 5.3235, 5.3235, 5.3235 Å; angles 148.13, 129.24, 61.20 degrees
Fractional coordinates of all 4 atoms:
Re (0.0000, 0.0000, 0.0000)
Re (0.7351, 0.2351, 0.5000)
Os (0.2634, 0.7634, 0.5000)
Br (0.5028, 0.5028, 0.0000)

***

Record 4
A plane-wave DFT calculation with PBE was carried out for crystalline TbPrCCl at its relaxed geometry.

Calculated values
Uncorrected energy (Ry per atom): -0.4527
Magnetic moment (μB/f.u.): 0.00
Uncorrected formation energy (eV/f.u.): -4.16

Cell lengths 7.4592, 7.4592, 7.4592 Å; angles 28.81, 28.81, 28.81 degrees
Fractional coordinates of all 4 atoms:
Tb (0.0000, 0.0000, 0.0000)
Pr (0.2069, 0.2069, 0.2069)
C (0.6093, 0.6093, 0.6093)
Cl (0.4301, 0.4301, 0.4301)

***

Record 5
A plane-wave DFT calculation with PBE was carried out for crystalline CdFe2Au at its relaxed geometry.

Calculated values
Uncorrected energy (Ry per atom): -0.3685
Magnetic moment (μB/f.u.): 5.39
DFT formation energy (kJ/mol of formula units): 103

Cell lengths 4.8670, 4.8670, 2.8081 Å; angles 90.00, 90.00, 109.75 degrees
Fractional coordinates of all 4 atoms:
Cd (0.0000, 0.0000, 0.0000)
Fe (0.0000, 0.5000, 0.5000)
Fe (0.5000, 0.0000, 0.5000)
Au (0.5000, 0.5000, 0.0000)

***

Record 6
A plane-wave DFT calculation with PBE was carried out for crystalline AcTbNi at its relaxed geometry.

Calculated values
E above lowest polymorph (meV per atom): 40
Uncorrected energy (Ry per atom): -0.3649
Magnetic moment (μB/f.u.): 0.00
DFT formation energy (kJ/mol of formula units): -36

Cell lengths 4.0930, 4.0930, 6.4491 Å; angles 90.00, 90.00, 120.00 degrees
Fractional coordinates of all 3 atoms:
Ac (0.0000, 0.0000, 0.0000)
Tb (0.6667, 0.3333, 0.5164)
Ni (0.3333, 0.6667, 0.7325)